(1)
This record from the Alexandria database describes a geometry-optimized SbI2ClF structure. The functional is PBE.

Cell lengths 5.660, 5.660, 5.470 Å; angles 90.00, 90.00, 90.00 degrees
Space group P4/mmm (No. 123)
Asymmetric unit:
Sb  0.000  0.000  0.000 x1
I  0.000  0.500  0.500 x2
Cl  0.000  0.000  0.500 x1
F  0.500  0.500  0.000 x1

Values from the calculation:
* uncorrected formation energy: 0.4361 eV per atom
* electronic total energy: -0.0644 hartree per atom
* DOS at the Fermi energy: 7.79 states/eV per cell
* polymorph energy (0 for the lowest one): 552 meV per atom


(2)
This record from the Alexandria database describes a geometry-optimized Gd2ErPb structure. The functional is PBE.

Cell lengths 3.5405, 3.5405, 36.2013 Å; angles 90.00, 90.00, 120.00 degrees
Space group R-3m (No. 166, hexagonal axes)
Asymmetric unit:
Gd  0.0000  0.0000  0.0886 x6
Er  0.0000  0.0000  0.5000 x3
Pb  0.0000  0.0000  0.0000 x3

Values from the calculation:
* electronic total energy: -0.3329 hartree per atom
* energy relative to the elements: 49 meV per atom
* DOS at the Fermi energy: 15.72 states/eV per cell
* polymorph energy (0 for the lowest one): 359 meV per atom